1.
A plane-wave DFT calculation with PBE was carried out for MgBrCl after structural relaxation.

Computed properties:
* space group: P1 (1)
* magnetic moment: 0.0 μB per cell
* crystal system: triclinic
* formation energy without anion corrections: -160 kJ per mole of atoms
* density: 2.8 g/cm3

POSCAR file:
```
MgBrCl
1.0
3.780 0.000 0.000
-1.890 3.275 0.000
-0.027 -2.149 6.809
Mg Br Cl
1 1 1
Direct
0.000 0.000 0.000
0.256 0.517 0.773
0.731 0.460 0.195
```

=====

2.
A plane-wave DFT calculation with PBE was carried out for NbCrRe after structural relaxation.

Computed properties:
* space group: Imma (74)
* magnetic moment: 0.0 μB per cell
* crystal system: orthorhombic
* DFT formation energy: -0.10 eV per atom
* density: 11.9 g/cm3

POSCAR file:
```
NbCrRe
1.0
-2.494 2.589 3.569
2.494 -2.589 3.569
2.494 2.589 -3.569
Nb Cr Re
2 2 2
Direct
0.375 0.125 0.250
0.625 0.875 0.750
0.000 0.000 0.500
0.000 0.500 0.000
0.000 0.500 0.500
0.500 0.500 0.000
```

=====

3.
A plane-wave DFT calculation with PBE was carried out for SiPAu2 after structural relaxation.

Computed properties:
* space group: I-42d (122)
* magnetic moment: 0.0 μB per cell
* crystal system: tetragonal
* formation energy without anion corrections: 24 kJ per mole of atoms
* density: 8.8 g/cm3

POSCAR file:
```
SiPAu2
1.0
-3.062 3.062 4.537
3.062 -3.062 4.537
3.062 3.062 -4.537
Si P Au
2 2 4
Direct
0.000 0.000 0.000
0.750 0.250 0.500
0.250 0.750 0.500
0.500 0.500 0.000
0.127 0.625 0.002
0.375 0.377 0.502
0.623 0.125 0.998
0.875 0.873 0.498
```

=====

4.
A plane-wave DFT calculation with PBE was carried out for Ba3SrAu4 after structural relaxation.

Computed properties:
* space group: Im-3m (229)
* magnetic moment: 0.0 μB per cell
* crystal system: cubic
* DFT formation energy: -0.69 eV per atom
* density: 8.4 g/cm3

POSCAR file:
```
Ba3SrAu4
1.0
-3.987 3.987 3.987
3.987 -3.987 3.987
3.987 3.987 -3.987
Ba Sr Au
3 1 4
Direct
0.000 0.500 0.500
0.500 0.000 0.500
0.500 0.500 0.000
0.000 0.000 0.000
0.000 0.000 0.500
0.000 0.500 0.000
0.500 0.000 0.000
0.500 0.500 0.500
```